[1]
An optimized crystal structure of LaTbBi. Source: Alexandria via LeMat-Bulk, functional PBE-GGA.

```
LaTbBi
1.0
5.309 0.000 0.000
-2.654 4.597 0.000
0.000 0.000 4.148
La Tb Bi
1 1 1
Direct
0.000 0.000 0.000 La
0.333 0.667 0.516 Tb
0.667 0.333 0.413 Bi
```

Properties
The energy of formation comes out at -0.3544 eV per atom. The crystal system is trigonal. Its density of states at the Fermi level is 4.1 states/eV/f.u.

***

[2]
An optimized crystal structure of Sm4Dy3Tm2. Source: Alexandria via LeMat-Bulk, functional PBE-GGA.

```
Sm4Dy3Tm2
1.0
8.333 -5.815 0.000
8.333 5.815 0.000
-0.737 0.000 5.950
Sm Dy Tm
8 6 4
Direct
0.048 0.824 0.952 Sm
0.163 0.384 0.114 Sm
0.176 0.952 0.548 Sm
0.384 0.163 0.614 Sm
0.616 0.837 0.386 Sm
0.824 0.048 0.452 Sm
0.837 0.616 0.886 Sm
0.952 0.176 0.048 Sm
0.017 0.321 0.581 Dy
0.321 0.017 0.081 Dy
0.349 0.651 0.250 Dy
0.651 0.349 0.750 Dy
0.679 0.983 0.919 Dy
0.983 0.679 0.419 Dy
0.291 0.505 0.704 Tm
0.495 0.709 0.796 Tm
0.505 0.291 0.204 Tm
0.709 0.495 0.296 Tm
```

Properties
The energy of formation comes out at 0.0936 eV per atom. The crystal system is monoclinic. Its density of states at the Fermi level is 12.1 states/eV/f.u.

***

[3]
An optimized crystal structure of CsGaAgAu. Source: Alexandria via LeMat-Bulk, functional PBE-GGA.

```
CsGaAgAu
1.0
8.109 0.000 0.000
0.000 4.681 0.000
-2.703 0.000 6.642
Cs Ga Ag Au
2 2 2 2
Direct
0.000 0.000 0.000 Cs
0.500 0.500 0.000 Cs
0.009 0.500 0.528 Ga
0.509 0.000 0.528 Ga
0.317 0.500 0.453 Ag
0.817 0.000 0.453 Ag
0.184 0.000 0.554 Au
0.684 0.500 0.554 Au
```

Properties
The energy of formation comes out at -0.1669 eV per atom. The crystal system is monoclinic. Its density of states at the Fermi level is 1.9 states/eV/f.u.